# 1
The following is a PBE calculation of a relaxed BaH3I crystal, from Alexandria via LeMat-Bulk.

Excess energy over the best structure of this formula in the dataset in meV per atom: 0
V in Å³ per cell: 235
Crystal system: triclinic
Symmetry: No. 2
Final energy in eV per atom: -3.38

Cell lengths 4.7920, 8.6825, 9.3879 Å; angles 111.84, 139.51, 74.52 degrees
Last column: nearest neighbours and their distance in Å.
Element x y z (fractional)
Ba: 0.1227 0.2813 0.8437  3 H 2.61-2.63
Ba: 0.8773 0.7187 0.1563  3 H 2.61-2.63
H: 0.0686 0.0306 0.0583  1 H 0.76
H: 0.2330 0.6021 0.0216  3 Ba 2.61-2.63, 3 H 2.78-2.92
H: 0.9314 0.9694 0.9417  1 H 0.76
H: 0.4330 0.4617 0.4509  1 H 0.76
H: 0.7670 0.3979 0.9784  3 Ba 2.61-2.63, 3 H 2.78-2.92
H: 0.5670 0.5383 0.5491  1 H 0.76
I: 0.9789 0.1797 0.3781  4 H 3.11-3.37
I: 0.0211 0.8203 0.6219  4 H 3.11-3.37

# 2
The following is a PBE calculation of a relaxed BaH2I crystal, from Alexandria via LeMat-Bulk.

Excess energy over the best structure of this formula in the dataset in meV per atom: 53
V in Å³ per cell: 202
Crystal system: triclinic
Symmetry: No. 2
Final energy in eV per atom: -3.40

Cell lengths 4.4848, 5.3396, 8.5580 Å; angles 80.00, 87.68, 89.22 degrees
Last column: nearest neighbours and their distance in Å.
Element x y z (fractional)
Ba: 0.7522 0.6702 0.7880  4 H 2.56-2.84
Ba: 0.2478 0.3298 0.2120  4 H 2.56-2.84
H: 0.7553 0.3662 0.0610  1 H 2.06
H: 0.2447 0.6338 0.9390  1 H 2.06
H: 0.5608 0.0494 0.0032  1 H 0.77
H: 0.4392 0.9506 0.9968  1 H 0.77
I: 0.2414 0.2100 0.6507  2 H 3.20-3.36
I: 0.7586 0.7900 0.3493  2 H 3.20-3.36

# 3
The following is a PBE calculation of a relaxed BaHI crystal, from Alexandria via LeMat-Bulk.

Excess energy over the best structure of this formula in the dataset in meV per atom: 301
V in Å³ per cell: 93
Crystal system: tetragonal
Symmetry: No. 107
Final energy in eV per atom: -3.19

Cell lengths 3.9749, 3.9749, 6.5165 Å; angles 107.76, 107.76, 90.00 degrees
Last column: nearest neighbours and their distance in Å.
Element x y z (fractional)
Ba: 0.7142 0.7142 0.4284  4 H 2.89
I: 0.0130 0.0130 0.0259  1 H 3.06
H: 0.2729 0.2729 0.5457  4 Ba 2.89, 1 I 3.06

# 4
The following is a PBE calculation of a relaxed Ba3HI crystal, from Alexandria via LeMat-Bulk.

Excess energy over the best structure of this formula in the dataset in meV per atom: 0
V in Å³ per cell: 190
Crystal system: cubic
Symmetry: No. 221
Final energy in eV per atom: -2.50

Cell lengths 5.7496, 5.7496, 5.7496 Å; angles 90.00, 90.00, 90.00 degrees
Last column: nearest neighbours and their distance in Å.
Element x y z (fractional)
H: 0.0000 0.0000 0.0000  6 Ba 2.87
Ba: 0.5000 0.0000 0.0000  2 H 2.87
Ba: 0.0000 0.5000 0.0000  2 H 2.87
Ba: 0.0000 0.0000 0.5000  2 H 2.87
I: 0.5000 0.5000 0.5000  12 Ba 4.07

# 5
The following is a PBE calculation of a relaxed Ba4H2I5 crystal, from Alexandria via LeMat-Bulk.

V in Å³ per cell: 472
Crystal system: monoclinic
Symmetry: No. 12
Final energy in eV per atom: -3.28

Cell lengths 4.8411, 9.4813, 12.2310 Å; angles 120.21, 101.41, 90.00 degrees
Last column: nearest neighbours and their distance in Å.
Element x y z (fractional)
I: 0.5000 0.0000 0.0000  4 Ba 3.52, 2 H 3.62
I: 0.1697 0.3767 0.3394  4 Ba 3.46-3.66, 2 H 3.79
I: 0.8303 0.6233 0.6606  4 Ba 3.46-3.66, 2 H 3.79
I: 0.1631 0.9000 0.3263  4 Ba 3.55-3.88
I: 0.8369 0.1000 0.6737  4 Ba 3.55-3.88
Ba: 0.3145 0.3400 0.6290  1 H 2.60
Ba: 0.9901 0.7190 0.9802  2 H 2.78
Ba: 0.6855 0.6600 0.3710  1 H 2.60
Ba: 0.0099 0.2810 0.0198  2 H 2.78
H: 0.4377 0.5616 0.8754  3 Ba 2.60-2.78
H: 0.5623 0.4384 0.1246  3 Ba 2.60-2.78

# 6
The following is a PBE calculation of a relaxed BaHI crystal, from Alexandria via LeMat-Bulk.

Excess energy over the best structure of this formula in the dataset in meV per atom: 337
V in Å³ per cell: 116
Crystal system: cubic
Symmetry: No. 216
Final energy in eV per atom: -3.16

Cell lengths 5.4798, 5.4798, 5.4798 Å; angles 60.00, 60.00, 60.00 degrees
Last column: nearest neighbours and their distance in Å.
Element x y z (fractional)
I: 0.0000 0.0000 0.0000  4 Ba 3.36
H: 0.5000 0.5000 0.5000  4 Ba 3.36
Ba: 0.2500 0.2500 0.2500  4 I 3.36, 4 H 3.36

Look up the final energy of the fifth one. -3.28 eV per atom

final energy of number 2 (BaH2I)? -3.40 eV per atom

What is the final energy in the sixth record? -3.16 eV per atom

The highest final energy belongs to which entry? Ba3HI